1.
A relaxed structure of Cs3Nb5N12. Source: Alexandria via LeMat-Bulk, functional PBE.

Output
Space group: Ia-3d
Calculated density (g/cm3): 4.72
Uncorrected energy (eV/atom): -7.521
Uncorrected formation energy (meV/atom): 119
M_tot (μB/cell): 32.5

a = 12.354 Å, b = 12.354 Å, c = 12.354 Å
α = 109.47°, β = 109.47°, γ = 109.47°
Fractional coordinates of all 80 atoms:
Cs  0.125  0.250  0.375
Cs  0.125  0.375  0.750
Cs  0.250  0.375  0.125
Cs  0.250  0.875  0.625
Cs  0.375  0.125  0.250
Cs  0.375  0.750  0.125
Cs  0.625  0.250  0.875
Cs  0.625  0.875  0.750
Cs  0.750  0.125  0.375
Cs  0.750  0.625  0.875
Cs  0.875  0.625  0.250
Cs  0.875  0.750  0.625
Nb  0.000  0.000  0.000
Nb  0.000  0.000  0.500
Nb  0.000  0.500  0.000
Nb  0.000  0.500  0.500
Nb  0.125  0.750  0.875
Nb  0.125  0.875  0.250
Nb  0.250  0.125  0.875
Nb  0.250  0.625  0.375
Nb  0.375  0.250  0.625
Nb  0.375  0.625  0.750
Nb  0.500  0.000  0.000
Nb  0.500  0.000  0.500
Nb  0.500  0.500  0.000
Nb  0.500  0.500  0.500
Nb  0.625  0.375  0.250
Nb  0.625  0.750  0.375
Nb  0.750  0.375  0.625
Nb  0.750  0.875  0.125
Nb  0.875  0.125  0.750
Nb  0.875  0.250  0.125
N  0.022  0.685  0.115
N  0.022  0.837  0.907
N  0.070  0.663  0.685
N  0.070  0.907  0.385
N  0.093  0.615  0.930
N  0.093  0.978  0.163
N  0.115  0.022  0.685
N  0.115  0.593  0.430
N  0.163  0.093  0.978
N  0.163  0.570  0.185
N  0.185  0.163  0.570
N  0.185  0.522  0.615
N  0.315  0.885  0.978
N  0.315  0.930  0.337
N  0.337  0.315  0.930
N  0.337  0.522  0.407
N  0.385  0.070  0.907
N  0.385  0.815  0.478
N  0.407  0.337  0.522
N  0.407  0.570  0.885
N  0.430  0.115  0.593
N  0.430  0.815  0.837
N  0.478  0.385  0.815
N  0.478  0.593  0.663
N  0.522  0.407  0.337
N  0.522  0.615  0.185
N  0.570  0.185  0.163
N  0.570  0.885  0.407
N  0.593  0.430  0.115
N  0.593  0.663  0.478
N  0.615  0.185  0.522
N  0.615  0.930  0.093
N  0.663  0.478  0.593
N  0.663  0.685  0.070
N  0.685  0.070  0.663
N  0.685  0.115  0.022
N  0.815  0.478  0.385
N  0.815  0.837  0.430
N  0.837  0.430  0.815
N  0.837  0.907  0.022
N  0.885  0.407  0.570
N  0.885  0.978  0.315
N  0.907  0.022  0.837
N  0.907  0.385  0.070
N  0.930  0.093  0.615
N  0.930  0.337  0.315
N  0.978  0.163  0.093
N  0.978  0.315  0.885


2.
A relaxed structure of NdInHg4. Source: Alexandria via LeMat-Bulk, functional PBE.

Output
DFT formation energy (eV/f.u.): -1.617
Space group: Cmmm
Calculated density (g/cm3): 11.63
Uncorrected energy (eV/atom): -1.722
M_tot (μB/cell): 0.0
Energy relative to the lowest polymorph listed for this composition (kcal/mol of atoms): 0.00

a = 6.969 Å, b = 6.969 Å, c = 4.852 Å
α = 90.00°, β = 90.00°, γ = 139.96°
Fractional coordinates of all 6 atoms:
Nd  0.000  0.000  0.000
In  0.500  0.500  0.500
Hg  0.167  0.833  0.500
Hg  0.327  0.673  0.000
Hg  0.673  0.327  0.000
Hg  0.833  0.167  0.500


3.
A relaxed structure of Ce5Ru2Pt. Source: Alexandria via LeMat-Bulk, functional PBE.

Output
DFT formation energy (eV/f.u.): -3.901
Space group: I4/mcm
Calculated density (g/cm3): 9.75
Uncorrected energy (eV/atom): -7.270
M_tot (μB/cell): 5.1
Energy relative to the lowest polymorph listed for this composition (kcal/mol of atoms): 0.00

a = 8.453 Å, b = 8.453 Å, c = 8.453 Å
α = 126.90°, β = 126.90°, γ = 78.41°
Fractional coordinates of all 16 atoms:
Ce  0.000  0.000  0.000
Ce  0.023  0.523  0.835
Ce  0.188  0.023  0.500
Ce  0.312  0.812  0.835
Ce  0.477  0.312  0.500
Ce  0.500  0.500  0.000
Ce  0.523  0.688  0.500
Ce  0.688  0.188  0.165
Ce  0.812  0.977  0.500
Ce  0.977  0.477  0.165
Ru  0.139  0.361  0.500
Ru  0.361  0.861  0.223
Ru  0.639  0.139  0.777
Ru  0.861  0.639  0.500
Pt  0.250  0.250  0.000
Pt  0.750  0.750  0.000


4.
A relaxed structure of Pr5YEr2. Source: Alexandria via LeMat-Bulk, functional PBE.

Output
DFT formation energy (eV/f.u.): 1.656
Space group: C2/c
Calculated density (g/cm3): 6.74
Uncorrected energy (eV/atom): -4.729
M_tot (μB/cell): 0.0
Energy relative to the lowest polymorph listed for this composition (kcal/mol of atoms): 2.08

a = 9.570 Å, b = 9.570 Å, c = 6.752 Å
α = 108.17°, β = 108.17°, γ = 79.29°
Fractional coordinates of all 16 atoms:
Pr  0.116  0.632  0.117
Pr  0.236  0.764  0.750
Pr  0.246  0.273  0.789
Pr  0.273  0.246  0.289
Pr  0.368  0.884  0.383
Pr  0.632  0.116  0.617
Pr  0.727  0.754  0.711
Pr  0.754  0.727  0.211
Pr  0.764  0.236  0.250
Pr  0.884  0.368  0.883
Y  0.495  0.505  0.250
Y  0.505  0.495  0.750
Er  0.000  0.000  0.000
Er  0.000  0.000  0.500
Er  0.000  0.500  0.500
Er  0.500  0.000  0.000